No. 1
First-principles (PBE) data for NaGaSO5 after structural relaxation, as listed in the Alexandria database.

abc: 5.612 5.612 6.659
angles: 103.59 103.59 104.28
Fractional coordinates of all 16 atoms:
Na 0.329 0.671 0.250
Na 0.671 0.329 0.750
Ga 0.000 0.000 0.500
Ga 0.000 0.000 0.000
S 0.675 0.325 0.250
S 0.325 0.675 0.750
O 0.073 0.927 0.250
O 0.927 0.073 0.750
O 0.870 0.324 0.129
O 0.130 0.676 0.871
O 0.676 0.130 0.371
O 0.324 0.870 0.629
O 0.739 0.585 0.408
O 0.261 0.415 0.592
O 0.415 0.261 0.092
O 0.585 0.739 0.908

Summary:
Calculated density   3.62 g/cm³
Uncorrected formation energy   -1.636 eV/atom

---

No. 2
First-principles (PBE) data for Ca2ScAs2 after structural relaxation, as listed in the Alexandria database.

abc: 6.126 7.516 7.549
angles: 119.86 113.94 90.00
Last column: magnetic moment on the atom in μB.
Fractional coordinates of all 10 atoms:
Ca 0.852 0.707 0.704  0.04
Ca 0.148 0.293 0.296  0.04
Ca 0.648 0.003 0.296  0.04
Ca 0.352 0.997 0.704  0.04
Sc 0.750 0.500 0.000  0.49
Sc 0.250 0.500 0.000  0.49
As 0.392 0.642 0.785  -0.02
As 0.608 0.358 0.215  -0.02
As 0.108 0.858 0.215  -0.02
As 0.892 0.142 0.785  -0.02

Summary:
ΔH_f (0 K)   -1.0572 eV per atom
Polymorph energy (0 for the lowest one)   0.0 meV/atom
Calculated density   3.43 g/cm³

---

No. 3
First-principles (PBE) data for ScZnCl after structural relaxation, as listed in the Alexandria database.

abc: 3.406 3.406 7.276
angles: 90.00 90.00 120.00
Fractional coordinates of all 3 atoms:
Cl 0.000 0.000 0.089
Sc 0.667 0.333 0.319
Zn 0.333 0.667 0.592

Summary:
Polymorph energy (0 for the lowest one)   0.0 meV/atom
Calculated density   3.31 g/cm³
Uncorrected formation energy   -0.793 eV/atom

---

No. 4
First-principles (PBE) data for Tb4NdHo after structural relaxation, as listed in the Alexandria database.

abc: 6.600 6.600 6.600
angles: 60.00 60.00 60.00
Last column: magnetic moment on the atom in μB.
Fractional coordinates of all 6 atoms:
Nd 0.250 0.250 0.250  0.08
Tb 0.625 0.625 0.124  0.02
Tb 0.625 0.124 0.625  0.02
Tb 0.625 0.625 0.625  0.02
Tb 0.124 0.625 0.625  0.02
Ho 0.000 0.000 0.000  0.08

Summary:
ΔH_f (0 K)   0.2698 eV per atom
Polymorph energy (0 for the lowest one)   252.5 meV/atom
Calculated density   7.72 g/cm³